No. 1
Computed, not measured: a relaxed structure of SmTcBr at the PBE-GGA level of DFT.

POSCAR file:
```
SmTcBr
1.0
4.103 0.000 0.000
2.052 3.553 0.000
2.052 1.184 11.938
Sm Br Tc
2 2 2
Cartesian
4.103 2.369 3.745 Sm
4.103 2.369 8.193 Sm
2.052 1.184 1.852 Br
6.155 3.553 10.086 Br
6.155 3.553 5.768 Tc
2.052 1.184 6.170 Tc
```

Output
Total energy (eV per cell): -38.94
Space group: R-3m (166)
M_tot (μB per cell): 0.000

No. 2
Computed, not measured: a relaxed structure of Sm3TcBr3 at the PBE-GGA level of DFT.

POSCAR file:
```
Sm3TcBr3
1.0
-1.805 -3.658 -0.085
3.743 -2.027 7.761
-9.773 4.691 5.639
Sm Tc Br
6 2 6
Cartesian
-5.335 1.370 5.406 Sm
-2.499 -2.363 7.909 Sm
-3.682 0.445 10.099 Sm
-4.152 -1.439 3.216 Sm
1.216 -1.924 8.023 Sm
-9.050 0.930 5.292 Sm
-0.957 -0.894 9.868 Tc
-6.877 -0.100 3.447 Tc
-2.414 -0.075 5.533 Br
-5.420 -0.919 7.782 Br
-6.023 1.561 11.792 Br
-1.812 -2.554 1.523 Br
-7.513 2.399 7.325 Br
-0.321 -3.393 5.990 Br
```

Output
Total energy (eV per cell): -74.79
Space group: P2_1/m (11)
M_tot (μB per cell): 0.000